Record 1
# Tb6PmHo2 | Alexandria via LeMat-Bulk | PBE | relaxed
# offset from the most stable computed form	0.0	meV/atom
# formation energy from the elements	0.1	eV per formula unit
# calculated total energy	-4.616	eV per atom
# spin magnetization	0.00	μB/f.u.
data_Tb6PmHo2
_space_group_name_H-M_alt 'P 1'
_space_group_IT_number 1
_space_group_name_Hall 'P 1'
_cell_length_a 3.565
_cell_length_b 8.717
_cell_length_c 12.826
_cell_angle_alpha 132.74
_cell_angle_beta 81.99
_cell_angle_gamma 90.07
loop_
_atom_site_label
_atom_site_type_symbol
_atom_site_fract_x
_atom_site_fract_y
_atom_site_fract_z
Tb1 Tb 0.889 0.556 0.222
Tb2 Tb 0.111 0.444 0.778
Tb3 Tb 0.667 0.665 0.665
Tb4 Tb 0.778 0.110 0.444
Tb5 Tb 0.222 0.890 0.556
Tb6 Tb 0.333 0.335 0.335
Pm1 Pm 0.000 0.000 0.000
Ho1 Ho 0.444 0.776 0.111
Ho2 Ho 0.556 0.224 0.889


Record 2
# AcCdPAu | Alexandria via LeMat-Bulk | PBE | relaxed
# formation energy from the elements	-2.1	eV per formula unit
# calculated total energy	-3.961	eV per atom
# spin magnetization	0.00	μB/f.u.
data_AcCdPAu
_space_group_name_H-M_alt 'P 1'
_space_group_IT_number 1
_space_group_name_Hall 'P 1'
_cell_length_a 5.194
_cell_length_b 5.194
_cell_length_c 5.194
_cell_angle_alpha 60.00
_cell_angle_beta 60.00
_cell_angle_gamma 60.00
loop_
_atom_site_label
_atom_site_type_symbol
_atom_site_fract_x
_atom_site_fract_y
_atom_site_fract_z
Au1 Au 0.750 0.750 0.750
Ac1 Ac 0.000 0.000 0.000
P1 P 0.250 0.250 0.250
Cd1 Cd 0.500 0.500 0.500


What is the spin magnetization in the first record?
0.00 μB/f.u.